Here is a geometry-optimized OsAuSCl2 structure from Alexandria. Energies are from GGA-PBE.

crystal system: tetragonal
size of the total moment: 4.364 μB per formula unit
calculated total energy: -15.37 eV per formula unit

a = 4.8576 Å, b = 4.8576 Å, c = 5.0972 Å
α = 90.00°, β = 90.00°, γ = 90.00°
Closest atoms and distances in Å follow each position.
Fractional positions:
Os  0.5000  0.5000  0.5000  4 S 3.43, 8 Cl 3.52
S  0.0000  0.0000  0.5000  2 Au 2.55
Au  0.0000  0.0000  0.0000  4 Cl 2.43, 2 S 2.55
Cl  0.0000  0.5000  0.0000  2 Au 2.43
Cl  0.5000  0.0000  0.0000  2 Au 2.43